Entry 1:
Compound: Cs12Zn5Hg3
Source: Alexandria
Functional: PBE-GGA
Structure: relaxed

The size of the total moment comes out at 0.0 μB/f.u. The energy of formation from the pure elements is 141.4 meV per atom.

The space group is Ia-3d (No. 230) and the conventional cell measures 22.6066, 22.6066 and 22.6066 Å, with angles of 90.00, 90.00 and 90.00 degrees. The distinct sites, in fractional coordinates, are Cs at (0.0246, 0.0717, 0.6499), Zn at (0.0000, 0.0000, 0.0000), Zn at (0.0000, 0.2500, 0.3750) and Hg at (0.0000, 0.2500, 0.1250).

Entry 2:
Compound: Ag2BH
Source: Alexandria
Functional: PBE-GGA
Structure: relaxed

The value obtained for the energy above the most stable polymorph in this dataset is 0.000 eV per formula unit. The size of the total moment comes out at 0.0 μB/f.u.

The space group is I-42d (No. 122) and the conventional cell measures 5.0934, 5.0934 and 8.3311 Å, with angles of 90.00, 90.00 and 90.00 degrees. The distinct sites, in fractional coordinates, are Ag at (0.2144, 0.2500, 0.1250), B at (0.0000, 0.0000, 0.5000) and H at (0.0000, 0.0000, 0.0000).

Entry 3:
Compound: Tl2CuI2Cl2
Source: Alexandria
Functional: PBE-GGA
Structure: relaxed

The value obtained for the raw total energy is -2.810 eV/atom. The size of the total moment comes out at 0.2 μB/f.u.

The space group is I4/mmm (No. 139) and the conventional cell measures 5.0865, 5.0865 and 17.0993 Å, with angles of 90.00, 90.00 and 90.00 degrees. The distinct sites, in fractional coordinates, are Tl at (0.0000, 0.0000, 0.1274), Cu at (0.0000, 0.0000, 0.5000), I at (0.0000, 0.0000, 0.3424) and Cl at (0.0000, 0.5000, 0.0000).

Entry 4:
Compound: BaSr4Ga2
Source: Alexandria
Functional: PBE-GGA
Structure: relaxed

The size of the total moment comes out at 0.0 μB/f.u. The energy of formation from the pure elements is -160.8 meV per atom.

The space group is Cmmm (No. 65) and the conventional cell measures 5.5456, 19.1345 and 5.5657 Å, with angles of 90.00, 90.00 and 90.00 degrees. The distinct sites, in fractional coordinates, are Ba at (0.0000, 0.0000, 0.0000), Sr at (0.0000, 0.1619, 0.5000), Sr at (0.0000, 0.3364, 0.0000) and Ga at (0.0000, 0.4353, 0.5000).

Entry 5:
Compound: YZrBe2
Source: Alexandria
Functional: PBE-GGA
Structure: relaxed

The value obtained for the energy above the most stable polymorph in this dataset is 0.000 eV per formula unit. The size of the total moment comes out at 0.0 μB/f.u. The energy of formation from the pure elements is 0.6 meV per atom.

The space group is P4/mmm (No. 123) and the conventional cell measures 3.2975, 3.2975 and 6.5144 Å, with angles of 90.00, 90.00 and 90.00 degrees. The distinct sites, in fractional coordinates, are Y at (0.0000, 0.0000, 0.0000), Zr at (0.0000, 0.0000, 0.5000) and Be at (0.5000, 0.5000, 0.2848).

Entry 6:
Compound: Hf2SiGeAu
Source: Alexandria
Functional: PBE-GGA
Structure: relaxed

The value obtained for the raw total energy is -6.366 eV/atom. The size of the total moment comes out at 0.0 μB/f.u.

The space group is P4/mmm (No. 123) and the conventional cell measures 4.9380, 4.9380 and 4.5365 Å, with angles of 90.00, 90.00 and 90.00 degrees. The distinct sites, in fractional coordinates, are Hf at (0.0000, 0.5000, 0.0000), Si at (0.0000, 0.0000, 0.0000), Ge at (0.5000, 0.5000, 0.5000) and Au at (0.0000, 0.0000, 0.5000).

Entry 7:
Compound: La2Pr2Sn2H
Source: Alexandria
Functional: PBE-GGA
Structure: relaxed

The value obtained for the raw total energy is -5.025 eV/atom. The size of the total moment comes out at 0.4 μB/f.u.

The space group is I4/mmm (No. 139) and the conventional cell measures 4.7911, 4.7911 and 17.7646 Å, with angles of 90.00, 90.00 and 90.00 degrees. The distinct sites, in fractional coordinates, are La at (0.0000, 0.0000, 0.1790), Pr at (0.0000, 0.5000, 0.0000), Sn at (0.0000, 0.0000, 0.3650) and H at (0.0000, 0.0000, 0.0000).

Entry 8:
Compound: Hf6Bi2Pt
Source: Alexandria
Functional: PBE-GGA
Structure: relaxed

The size of the total moment comes out at 0.0 μB/f.u. The energy of formation from the pure elements is -165.3 meV per atom.

The space group is P2_1/c (No. 14) and the conventional cell measures 5.8782, 7.3066 and 11.3553 Å, with angles of 90.00, 120.72 and 90.00 degrees. The distinct sites, in fractional coordinates, are Hf at (0.1065, 0.0407, 0.2413), Hf at (0.1737, 0.7478, 0.0394), Hf at (0.3699, 0.1574, 0.0209), Bi at (0.3358, 0.0863, 0.7269) and Pt at (0.5000, 0.0000, 0.5000).

Entry 9:
Compound: ErTm4Sc4
Source: Alexandria
Functional: PBE-GGA
Structure: relaxed

The value obtained for the energy above the most stable polymorph in this dataset is 0.000 eV per formula unit. The size of the total moment comes out at 0.0 μB/f.u. The energy of formation from the pure elements is 51.7 meV per atom.

The space group is I4/mmm (No. 139) and the conventional cell measures 10.1733, 10.1733 and 4.7868 Å, with angles of 90.00, 90.00 and 90.00 degrees. The distinct sites, in fractional coordinates, are Er at (0.0000, 0.0000, 0.0000), Tm at (0.0000, 0.3296, 0.0000) and Sc at (0.1667, 0.1667, 0.5000).

Entry 10:
Compound: LiAs2Cl2
Source: Alexandria
Functional: PBE-GGA
Structure: relaxed

The value obtained for the energy above the most stable polymorph in this dataset is 0.878 eV per formula unit. The size of the total moment comes out at 0.0 μB/f.u.

The space group is I4/mmm (No. 139) and the conventional cell measures 5.8015, 5.8015 and 7.6697 Å, with angles of 90.00, 90.00 and 90.00 degrees. The distinct sites, in fractional coordinates, are Li at (0.0000, 0.0000, 0.0000), As at (0.0000, 0.0000, 0.3566) and Cl at (0.0000, 0.5000, 0.2500).

Entry 11:
Compound: HfSc2Ni2
Source: Alexandria
Functional: PBE-GGA
Structure: relaxed

The value obtained for the energy above the most stable polymorph in this dataset is 0.000 eV per formula unit. The size of the total moment comes out at 0.0 μB/f.u. The energy of formation from the pure elements is -342.6 meV per atom.

The space group is P4/mbm (No. 127) and the conventional cell measures 6.9980, 6.9980 and 3.6197 Å, with angles of 90.00, 90.00 and 90.00 degrees. The distinct sites, in fractional coordinates, are Hf at (0.0000, 0.0000, 0.0000), Sc at (0.1649, 0.3351, 0.5000) and Ni at (0.1300, 0.6300, 0.0000).

Entry 12:
Compound: CsVCl2
Source: Alexandria
Functional: PBE-GGA
Structure: relaxed

The value obtained for the energy above the most stable polymorph in this dataset is 0.000 eV per formula unit. The size of the total moment comes out at 4.0 μB/f.u.

The space group is R-3m (No. 166, hexagonal axes) and the conventional cell measures 5.4885, 5.4885 and 23.2785 Å, with angles of 90.00, 90.00 and 120.00 degrees. The distinct sites, in fractional coordinates, are Cs at (0.0000, 0.0000, 0.0000), V at (0.0000, 0.0000, 0.5000) and Cl at (0.0000, 0.0000, 0.4001).

Repeat the tenth record exactly.
Compound: LiAs2Cl2
Source: Alexandria
Functional: PBE-GGA
Structure: relaxed

The value obtained for the energy above the most stable polymorph in this dataset is 0.878 eV per formula unit. The size of the total moment comes out at 0.0 μB/f.u.

The space group is I4/mmm (No. 139) and the conventional cell measures 5.8015, 5.8015 and 7.6697 Å, with angles of 90.00, 90.00 and 90.00 degrees. The distinct sites, in fractional coordinates, are Li at (0.0000, 0.0000, 0.0000), As at (0.0000, 0.0000, 0.3566) and Cl at (0.0000, 0.5000, 0.2500).

> Which formula does entry 7 have?

La2Pr2Sn2H

> What is the size of the total moment in the eleventh record?

0.0 μB/f.u.